Record 1
Material: TaVH4
Method: DFT, GGA-PBE
State: optimized geometry

The structure in CIF format:
```
data_TaVH4
_space_group_name_H-M_alt 'P 1'
_space_group_IT_number 1
_space_group_name_Hall 'P 1'
_cell_length_a 5.277
_cell_length_b 5.283
_cell_length_c 4.770
_cell_angle_alpha 106.68
_cell_angle_beta 106.63
_cell_angle_gamma 118.82
loop_
_atom_site_label
_atom_site_type_symbol
_atom_site_fract_x
_atom_site_fract_y
_atom_site_fract_z
_atom_site_occupancy
H1 H 0.066 0.741 0.179 1
H2 H 0.934 0.259 0.821 1
H3 H 0.835 0.770 0.688 1
H4 H 0.387 0.562 0.821 1
H5 H 0.647 0.082 0.312 1
H6 H 0.613 0.438 0.179 1
H7 H 0.353 0.918 0.688 1
H8 H 0.165 0.230 0.312 1
V1 V 0.724 0.974 0.947 1
V2 V 0.276 0.026 0.053 1
Ta1 Ta 0.633 0.383 0.767 1
Ta2 Ta 0.367 0.617 0.233 1
```

Total magnetic moment, μB per formula unit: 0.0
Energy, eV/atom: -5.76
Offset from the most stable computed form, eV per atom: 0.162
Calculated volume, Å³ per atom: 8.022

Record 2
Material: Ti4Ni15Ge
Method: DFT, GGA-PBE
State: optimized geometry

The structure in CIF format:
```
data_Ti4Ni15Ge
_space_group_name_H-M_alt 'P 1'
_space_group_IT_number 1
_space_group_name_Hall 'P 1'
_cell_length_a 3.597
_cell_length_b 3.597
_cell_length_c 18.059
_cell_angle_alpha 90.00
_cell_angle_beta 90.00
_cell_angle_gamma 90.00
loop_
_atom_site_label
_atom_site_type_symbol
_atom_site_fract_x
_atom_site_fract_y
_atom_site_fract_z
_atom_site_occupancy
Ni1 Ni 0.500 0.500 0.199 1
Ni2 Ni 0.500 0.500 0.400 1
Ni3 Ni 0.000 0.500 0.100 1
Ni4 Ni 0.500 0.500 0.801 1
Ni5 Ni 0.500 0.500 0.000 1
Ni6 Ni 0.500 0.000 0.300 1
Ni7 Ni 0.000 0.500 0.500 1
Ni8 Ni 0.500 0.000 0.700 1
Ni9 Ni 0.500 0.000 0.100 1
Ni10 Ni 0.000 0.500 0.900 1
Ni11 Ni 0.000 0.500 0.300 1
Ni12 Ni 0.500 0.000 0.500 1
Ni13 Ni 0.500 0.000 0.900 1
Ni14 Ni 0.500 0.500 0.600 1
Ni15 Ni 0.000 0.500 0.700 1
Ti1 Ti 0.000 0.000 0.198 1
Ti2 Ti 0.000 0.000 0.399 1
Ti3 Ti 0.000 0.000 0.601 1
Ti4 Ti 0.000 0.000 0.802 1
Ge1 Ge 0.000 0.000 0.000 1
```

Total magnetic moment, μB per formula unit: 0.0
DFT formation energy, kJ per mole of atoms: -42.3
Energy, eV/atom: -6.58
Calculated volume, Å³ per atom: 11.685

Record 3
Material: SrCuPt2
Method: DFT, GGA-PBE
State: optimized geometry

The structure in CIF format:
```
data_SrCuPt2
_space_group_name_H-M_alt 'P 1'
_space_group_IT_number 1
_space_group_name_Hall 'P 1'
_cell_length_a 4.761
_cell_length_b 4.761
_cell_length_c 4.761
_cell_angle_alpha 60.00
_cell_angle_beta 60.00
_cell_angle_gamma 60.00
loop_
_atom_site_label
_atom_site_type_symbol
_atom_site_fract_x
_atom_site_fract_y
_atom_site_fract_z
_atom_site_occupancy
Sr1 Sr 0.500 0.500 0.500 1
Cu1 Cu 0.000 0.000 0.000 1
Pt1 Pt 0.250 0.250 0.250 1
Pt2 Pt 0.750 0.750 0.750 1
```

Total magnetic moment, μB per formula unit: 0.0
DFT formation energy, kJ per mole of atoms: -8.3
Energy, eV/atom: -4.55
Calculated volume, Å³ per atom: 19.073

Record 4
Material: KNa2HN
Method: DFT, GGA-PBE
State: optimized geometry

The structure in CIF format:
```
data_KNa2HN
_space_group_name_H-M_alt 'P 1'
_space_group_IT_number 1
_space_group_name_Hall 'P 1'
_cell_length_a 4.525
_cell_length_b 7.817
_cell_length_c 4.525
_cell_angle_alpha 90.00
_cell_angle_beta 90.00
_cell_angle_gamma 90.00
loop_
_atom_site_label
_atom_site_type_symbol
_atom_site_fract_x
_atom_site_fract_y
_atom_site_fract_z
_atom_site_occupancy
H1 H 0.000 0.500 0.000 1
Na1 Na 0.500 0.000 0.000 1
Na2 Na 0.000 0.000 0.500 1
K1 K 0.500 0.500 0.500 1
N1 N 0.000 0.000 0.000 1
```

Total magnetic moment, μB per formula unit: 1.0
Energy, eV/atom: -2.56
Calculated volume, Å³ per atom: 32.006

Record 5
Material: Ca2YCo
Method: DFT, GGA-PBE
State: optimized geometry

The structure in CIF format:
```
data_Ca2YCo
_space_group_name_H-M_alt 'P 1'
_space_group_IT_number 1
_space_group_name_Hall 'P 1'
_cell_length_a 5.732
_cell_length_b 6.422
_cell_length_c 3.509
_cell_angle_alpha 77.70
_cell_angle_beta 82.24
_cell_angle_gamma 114.17
loop_
_atom_site_label
_atom_site_type_symbol
_atom_site_fract_x
_atom_site_fract_y
_atom_site_fract_z
_atom_site_occupancy
Ca1 Ca 0.500 0.000 0.500 1
Ca2 Ca 0.000 0.000 0.000 1
Y1 Y 0.500 0.500 0.000 1
Co1 Co 0.000 0.500 0.500 1
```

Total magnetic moment, μB per formula unit: 1.0
DFT formation energy, kJ per mole of atoms: 51.8
Energy, eV/atom: -3.86
Offset from the most stable computed form, eV per atom: 0.486
Calculated volume, Å³ per atom: 27.882

Record 6
Material: BaNiS2
Method: DFT, GGA-PBE
State: optimized geometry

The structure in CIF format:
```
data_BaNiS2
_space_group_name_H-M_alt 'P 1'
_space_group_IT_number 1
_space_group_name_Hall 'P 1'
_cell_length_a 7.127
_cell_length_b 7.127
_cell_length_c 6.147
_cell_angle_alpha 54.57
_cell_angle_beta 54.57
_cell_angle_gamma 90.00
loop_
_atom_site_label
_atom_site_type_symbol
_atom_site_fract_x
_atom_site_fract_y
_atom_site_fract_z
_atom_site_occupancy
Ni1 Ni 0.250 0.750 0.500 1
Ni2 Ni 0.500 0.500 0.000 1
Ba1 Ba 0.750 0.250 0.500 1
Ba2 Ba 0.000 0.000 0.000 1
S1 S 0.514 0.125 0.250 1
S2 S 0.375 0.486 0.750 1
S3 S 0.236 0.625 0.250 1
S4 S 0.875 0.764 0.750 1
```

Total magnetic moment, μB per formula unit: 0.1
Energy, eV/atom: -5.09
Formation energy from raw total energies, eV per formula unit: -4.4
Calculated volume, Å³ per atom: 22.348

Record 7
Material: Te2PtI
Method: DFT, GGA-PBE
State: optimized geometry

The structure in CIF format:
```
data_Te2PtI
_space_group_name_H-M_alt 'P 1'
_space_group_IT_number 1
_space_group_name_Hall 'P 1'
_cell_length_a 8.866
_cell_length_b 6.998
_cell_length_c 6.998
_cell_angle_alpha 73.88
_cell_angle_beta 118.44
_cell_angle_gamma 61.56
loop_
_atom_site_label
_atom_site_type_symbol
_atom_site_fract_x
_atom_site_fract_y
_atom_site_fract_z
_atom_site_occupancy
Te1 Te 0.581 0.525 0.240 1
Te2 Te 0.081 0.260 0.975 1
Te3 Te 0.919 0.740 0.025 1
Te4 Te 0.419 0.475 0.760 1
Pt1 Pt 0.750 0.257 0.757 1
Pt2 Pt 0.250 0.743 0.243 1
I1 I 0.250 0.113 0.613 1
I2 I 0.750 0.887 0.387 1
```

Total magnetic moment, μB per formula unit: 0.0
Energy, eV/atom: -3.47
Formation energy from raw total energies, eV per formula unit: 0.0
Calculated volume, Å³ per atom: 31.799

Record 8
Material: ZnSb2
Method: DFT, GGA-PBE
State: optimized geometry

The structure in CIF format:
```
data_ZnSb2
_space_group_name_H-M_alt 'P 1'
_space_group_IT_number 1
_space_group_name_Hall 'P 1'
_cell_length_a 4.200
_cell_length_b 4.200
_cell_length_c 4.993
_cell_angle_alpha 90.00
_cell_angle_beta 90.00
_cell_angle_gamma 120.00
loop_
_atom_site_label
_atom_site_type_symbol
_atom_site_fract_x
_atom_site_fract_y
_atom_site_fract_z
_atom_site_occupancy
Sb1 Sb 0.333 0.667 0.313 1
Sb2 Sb 0.667 0.333 0.687 1
Zn1 Zn 0.000 0.000 0.000 1
```

Total magnetic moment, μB per formula unit: 0.0
Energy, eV/atom: -3.09
Formation energy from raw total energies, eV per formula unit: 0.2
Calculated volume, Å³ per atom: 25.425

Record 9
Material: Cd7SnHg3
Method: DFT, GGA-PBE
State: optimized geometry

The structure in CIF format:
```
data_Cd7SnHg3
_space_group_name_H-M_alt 'P 1'
_space_group_IT_number 1
_space_group_name_Hall 'P 1'
_cell_length_a 3.146
_cell_length_b 12.990
_cell_length_c 13.716
_cell_angle_alpha 90.00
_cell_angle_beta 90.00
_cell_angle_gamma 96.96
loop_
_atom_site_label
_atom_site_type_symbol
_atom_site_fract_x
_atom_site_fract_y
_atom_site_fract_z
_atom_site_occupancy
Cd1 Cd 0.384 0.769 0.750 1
Cd2 Cd 0.463 0.925 0.579 1
Cd3 Cd 0.537 0.075 0.421 1
Cd4 Cd 0.399 0.799 0.109 1
Cd5 Cd 0.537 0.075 0.079 1
Cd6 Cd 0.265 0.531 0.094 1
Cd7 Cd 0.399 0.799 0.391 1
Cd8 Cd 0.735 0.469 0.906 1
Cd9 Cd 0.265 0.531 0.406 1
Cd10 Cd 0.735 0.469 0.594 1
Cd11 Cd 0.463 0.925 0.921 1
Cd12 Cd 0.601 0.201 0.891 1
Cd13 Cd 0.601 0.201 0.609 1
Cd14 Cd 0.616 0.231 0.250 1
Hg1 Hg 0.152 0.304 0.432 1
Hg2 Hg 0.823 0.645 0.250 1
Hg3 Hg 0.848 0.696 0.568 1
Hg4 Hg 0.177 0.355 0.750 1
Hg5 Hg 0.848 0.696 0.932 1
Hg6 Hg 0.152 0.304 0.068 1
Sn1 Sn 0.979 0.958 0.250 1
Sn2 Sn 0.021 0.042 0.750 1
```

Total magnetic moment, μB per formula unit: 0.0
DFT formation energy, kJ per mole of atoms: 5.5
Energy, eV/atom: -0.97
Offset from the most stable computed form, eV per atom: 0.000
Calculated volume, Å³ per atom: 25.290

Record 10
Material: Pr4NdIn5
Method: DFT, GGA-PBE
State: optimized geometry

The structure in CIF format:
```
data_Pr4NdIn5
_space_group_name_H-M_alt 'P 1'
_space_group_IT_number 1
_space_group_name_Hall 'P 1'
_cell_length_a 3.903
_cell_length_b 3.903
_cell_length_c 19.452
_cell_angle_alpha 90.00
_cell_angle_beta 90.00
_cell_angle_gamma 90.00
loop_
_atom_site_label
_atom_site_type_symbol
_atom_site_fract_x
_atom_site_fract_y
_atom_site_fract_z
_atom_site_occupancy
In1 In 0.500 0.500 0.500 1
In2 In 0.500 0.500 0.299 1
In3 In 0.500 0.500 0.098 1
In4 In 0.500 0.500 0.701 1
In5 In 0.500 0.500 0.902 1
Nd1 Nd 0.000 0.000 0.000 1
Pr1 Pr 0.000 0.000 0.600 1
Pr2 Pr 0.000 0.000 0.199 1
Pr3 Pr 0.000 0.000 0.801 1
Pr4 Pr 0.000 0.000 0.400 1
```

Total magnetic moment, μB per formula unit: 0.0
DFT formation energy, kJ per mole of atoms: -47.8
Energy, eV/atom: -4.25
Calculated volume, Å³ per atom: 29.630

Record 11
Material: BaMg2SnRh
Method: DFT, GGA-PBE
State: optimized geometry

The structure in CIF format:
```
data_BaMg2SnRh
_space_group_name_H-M_alt 'P 1'
_space_group_IT_number 1
_space_group_name_Hall 'P 1'
_cell_length_a 5.118
_cell_length_b 5.118
_cell_length_c 5.157
_cell_angle_alpha 90.00
_cell_angle_beta 90.00
_cell_angle_gamma 90.00
loop_
_atom_site_label
_atom_site_type_symbol
_atom_site_fract_x
_atom_site_fract_y
_atom_site_fract_z
_atom_site_occupancy
Rh1 Rh 0.000 0.000 0.000 1
Sn1 Sn 0.000 0.000 0.500 1
Mg1 Mg 0.500 0.000 0.000 1
Mg2 Mg 0.000 0.500 0.000 1
Ba1 Ba 0.500 0.500 0.500 1
```

Total magnetic moment, μB per formula unit: 0.0
DFT formation energy, kJ per mole of atoms: -41.9
Energy, eV/atom: -3.73
Calculated volume, Å³ per atom: 27.017

Record 12
Material: PmPRu2C
Method: DFT, GGA-PBE
State: optimized geometry

The structure in CIF format:
```
data_PmPRu2C
_space_group_name_H-M_alt 'P 1'
_space_group_IT_number 1
_space_group_name_Hall 'P 1'
_cell_length_a 3.883
_cell_length_b 5.838
_cell_length_c 7.144
_cell_angle_alpha 90.00
_cell_angle_beta 90.00
_cell_angle_gamma 109.42
loop_
_atom_site_label
_atom_site_type_symbol
_atom_site_fract_x
_atom_site_fract_y
_atom_site_fract_z
_atom_site_occupancy
Ru1 Ru 0.833 0.667 0.054 1
Ru2 Ru 0.167 0.333 0.946 1
Ru3 Ru 0.833 0.667 0.446 1
Ru4 Ru 0.167 0.333 0.554 1
Pm1 Pm 0.454 0.907 0.750 1
Pm2 Pm 0.546 0.093 0.250 1
C1 C 0.000 0.000 0.500 1
C2 C 0.000 0.000 0.000 1
P1 P 0.271 0.541 0.250 1
P2 P 0.729 0.459 0.750 1
```

Total magnetic moment, μB per formula unit: 0.0
DFT formation energy, kJ per mole of atoms: -63.4
Energy, eV/atom: -8.24
Calculated volume, Å³ per atom: 15.275